Compound: CsHgSbPb2
Source: the Alexandria database
Functional: GGA-PBE
Structure: optimized geometry

Computed properties:
Raw formation energy, meV/atom: -165

POSCAR file:
```
CsHgSbPb2
1.0
9.095 0.000 0.000
0.000 5.049 0.000
-1.721 0.000 9.128
Cs Hg Sb Pb
2 2 2 4
direct
0.174 0.250 0.389
0.826 0.750 0.611
0.492 0.750 0.314
0.508 0.250 0.686
0.138 0.250 0.823
0.862 0.750 0.177
0.156 0.750 0.027
0.429 0.250 0.067
0.571 0.750 0.933
0.844 0.250 0.973
```

Compound: CsHgSb2Pb2
Source: the Alexandria database
Functional: GGA-PBE
Structure: optimized geometry

Computed properties:
Raw formation energy, meV/atom: -141

POSCAR file:
```
CsHgSb2Pb2
1.0
6.319 0.000 0.000
0.000 16.742 0.000
0.000 0.000 4.675
Cs Hg Sb Pb
2 2 4 4
direct
0.000 0.000 0.000
0.500 0.500 0.500
0.000 0.500 0.000
0.500 0.000 0.500
0.177 0.167 0.500
0.323 0.667 0.000
0.677 0.333 0.000
0.823 0.833 0.500
0.177 0.284 0.000
0.323 0.784 0.500
0.677 0.216 0.500
0.823 0.716 0.000
```

Compound: CsHgSb2Pb
Source: the Alexandria database
Functional: GGA-PBE
Structure: optimized geometry

Computed properties:
Raw formation energy, meV/atom: -189

POSCAR file:
```
CsHgSb2Pb
1.0
3.736 -7.208 0.000
3.736 7.208 0.000
0.000 0.000 7.456
Cs Hg Sb Pb
2 2 4 2
direct
0.250 0.750 0.764
0.750 0.250 0.236
0.000 0.000 0.000
0.500 0.500 0.000
0.131 0.869 0.271
0.369 0.631 0.271
0.631 0.369 0.729
0.869 0.131 0.729
0.250 0.250 0.500
0.750 0.750 0.500
```

Compound: CsHgPbSe2
Source: the Alexandria database
Functional: GGA-PBE
Structure: optimized geometry

Computed properties:
Raw formation energy, meV/atom: 823

POSCAR file:
```
CsHgPbSe2
1.0
5.948 0.000 0.000
0.000 5.948 0.000
0.000 0.000 6.751
Cs Hg Pb Se
1 1 1 2
direct
0.000 0.000 0.000
0.500 0.500 0.500
0.000 0.000 0.500
0.000 0.500 0.000
0.500 0.000 0.000
```